# 1
Density functional theory data (PBE-GGA) for crystalline LaTlCdCl6 at its relaxed geometry.

extended XYZ file:
```
18
Lattice="7.1471 0.0000 0.0000 -3.5735 6.1895 0.0000 0.0000 0.0000 13.9019" Properties=species:S:1:pos:R:3 pbc="T T T"
La 0.0000 4.1264 3.4755
La 3.5735 2.0632 10.4264
Tl 0.0000 0.0000 0.0000
Tl 0.0000 0.0000 6.9509
Cd 0.0000 4.1264 10.4264
Cd 3.5735 2.0632 3.4755
Cl -1.2445 2.3261 8.8827
Cl -2.1813 3.9487 11.9701
Cl 1.2445 2.3261 11.9701
Cl -0.9368 6.1042 8.8827
Cl 2.6367 0.0853 1.9318
Cl 1.3922 2.2408 5.0191
Cl 2.1813 3.9487 8.8827
Cl 0.9368 6.1042 11.9701
Cl 4.5103 0.0853 5.0191
Cl 2.3290 3.8634 1.9318
Cl 5.7548 2.2408 1.9318
Cl 4.8180 3.8634 5.0191
```

## Properties
E_tot ... -3.7938 eV per atom
Formation energy from raw total energies ... -1.6506 eV/atom
SG ... P-31c
Fermi-level density of states ... 0.000 states/eV/f.u.
M_tot ... 0.00 μB/f.u.


# 2
Density functional theory data (PBE-GGA) for crystalline LaVCdCl2 at its relaxed geometry.

extended XYZ file:
```
5
Lattice="5.4630 0.0000 0.0000 0.0000 5.4630 0.0000 0.0000 0.0000 6.3855" Properties=species:S:1:pos:R:3 pbc="T T T"
La 0.0000 0.0000 0.0000
V 0.0000 0.0000 3.1928
Cd 2.7315 2.7315 3.1928
Cl 0.0000 2.7315 0.0000
Cl 2.7315 0.0000 0.0000
```

## Properties
E_tot ... -4.0300 eV per atom
Formation energy from raw total energies ... -0.2991 eV/atom
SG ... P4/mmm
Fermi-level density of states ... 4.073 states/eV/f.u.
M_tot ... 4.42 μB/f.u.


# 3
Density functional theory data (PBE-GGA) for crystalline Li4CdCl6 at its relaxed geometry.

extended XYZ file:
```
22
Lattice="5.7935 -3.5884 0.0000 5.7935 3.5884 0.0000 -2.6408 0.0000 12.7005" Properties=species:S:1:pos:R:3 pbc="T T T"
Li 4.4731 3.2973 6.3502
Li 3.5396 1.6079 2.0144
Li 6.5756 2.0227 4.2249
Li 2.2192 -1.6079 8.3647
Li 7.5351 0.5103 0.0016
Li 6.2147 -0.5103 6.3519
Li 5.2552 -2.0227 10.5751
Li 5.7935 -3.2973 0.0000
Cd 3.1549 1.6311 9.3763
Cd 4.4753 -1.6311 3.0260
Cl 4.4435 3.1645 3.9068
Cl 2.5591 2.1040 6.9901
Cl 5.6676 1.6863 0.8117
Cl 1.2534 0.1105 9.9219
Cl 2.5738 -0.1105 3.5717
Cl 6.3559 1.8515 6.6604
Cl 5.1464 0.4172 10.2550
Cl 3.8795 -2.1040 0.6398
Cl 6.4669 -0.4172 3.9048
Cl 4.3472 -1.6863 7.1619
Cl 3.1231 -3.1645 10.2570
Cl 7.6763 -1.8515 0.3101
```

## Properties
E_tot ... -3.3555 eV per atom
Formation energy from raw total energies ... -1.5691 eV/atom
SG ... Cc
Fermi-level density of states ... 0.000 states/eV/f.u.
M_tot ... 0.10 μB/f.u.


# 4
Density functional theory data (PBE-GGA) for crystalline Li6CdCl8 at its relaxed geometry.

extended XYZ file:
```
15
Lattice="0.0000 5.2322 5.2322 5.2322 0.0000 5.2322 5.2322 5.2322 0.0000" Properties=species:S:1:pos:R:3 pbc="T T T"
Li 2.6161 2.6161 0.0000
Li 2.6161 0.0000 2.6161
Li 5.2322 2.6161 2.6161
Li 0.0000 2.6161 2.6161
Li 2.6161 5.2322 2.6161
Li 2.6161 2.6161 5.2322
Cd 0.0000 0.0000 0.0000
Cl 2.6161 2.6161 2.6161
Cl 5.2322 5.2322 2.6267
Cl 5.2322 2.6267 5.2322
Cl 7.8378 5.2322 5.2322
Cl 2.6267 5.2322 5.2322
Cl 5.2322 7.8378 5.2322
Cl 5.2322 5.2322 7.8378
Cl 7.8483 7.8483 7.8483
```

## Properties
E_tot ... -3.4621 eV per atom
Formation energy from raw total energies ... -1.6507 eV/atom
SG ... Fm-3m
Fermi-level density of states ... 0.000 states/eV/f.u.
M_tot ... 0.00 μB/f.u.


# 5
Density functional theory data (PBE-GGA) for crystalline LiCd2Cl5 at its relaxed geometry.

extended XYZ file:
```
16
Lattice="2.6168 -6.4210 0.0000 2.6168 6.4210 0.0000 0.0000 0.0000 12.7039" Properties=species:S:1:pos:R:3 pbc="T T T"
Li 2.6168 3.7984 9.5279
Li 2.6168 -3.7984 3.1760
Cd 2.6168 4.6493 0.8181
Cd 2.6168 4.6493 5.5339
Cd 2.6168 -4.6493 7.1700
Cd 2.6168 -4.6493 11.8858
Cl 2.6168 5.7073 7.8999
Cl 2.6168 5.7073 11.1559
Cl 2.6168 3.3845 3.1760
Cl 2.6168 2.3443 7.2067
Cl 2.6168 2.3443 11.8491
Cl 2.6168 -2.3443 0.8548
Cl 2.6168 -2.3443 5.4972
Cl 2.6168 -3.3845 9.5279
Cl 2.6168 -5.7073 1.5480
Cl 2.6168 -5.7073 4.8040
```

## Properties
Energy above the lowest structure with this stoichiometry ... 17 meV/atom
E_tot ... -2.8422 eV per atom
Formation energy from raw total energies ... -1.2201 eV/atom
SG ... Cmcm
Fermi-level density of states ... 0.000 states/eV/f.u.
M_tot ... 0.00 μB/f.u.


# 6
Density functional theory data (PBE-GGA) for crystalline Li3CdCl at its relaxed geometry.

extended XYZ file:
```
5
Lattice="4.6959 0.0000 0.0000 0.0000 4.6959 0.0000 0.0000 0.0000 4.6959" Properties=species:S:1:pos:R:3 pbc="T T T"
Li 0.0000 0.0000 2.3480
Li 0.0000 2.3480 0.0000
Li 2.3480 0.0000 0.0000
Cd 2.3480 2.3480 2.3480
Cl 0.0000 0.0000 0.0000
```

## Properties
Energy above the lowest structure with this stoichiometry ... 0 meV/atom
E_tot ... -2.3143 eV per atom
Formation energy from raw total energies ... -0.6136 eV/atom
SG ... Pm-3m
Fermi-level density of states ... 2.047 states/eV/f.u.
M_tot ... 0.00 μB/f.u.